Er11In9Ir4: optimized geometry, GGA-PBE.

Calculated values
Total moment   0.000 μB/cell
DFT formation energy   -665 meV/atom
Space group   Cmmm, No. 65

a = 3.680 Å, b = 13.018 Å, c = 13.018 Å
α = 112.51°, β = 90.00°, γ = 90.00°
Fractional positions:
Er  0.000  0.583  0.921
Er  0.000  0.417  0.079
Er  0.000  0.921  0.583
Er  0.000  0.079  0.417
Er  0.000  0.626  0.374
Er  0.000  0.374  0.626
Er  0.000  0.838  0.162
Er  0.000  0.162  0.838
Er  0.000  0.000  0.000
Er  0.000  0.688  0.688
Er  0.000  0.312  0.312
In  0.500  0.632  0.156
In  0.500  0.368  0.844
In  0.500  0.156  0.632
In  0.500  0.844  0.368
In  0.500  0.783  0.927
In  0.500  0.217  0.073
In  0.500  0.927  0.783
In  0.500  0.073  0.217
In  0.500  0.500  0.500
Ir  0.500  0.551  0.753
Ir  0.500  0.449  0.247
Ir  0.500  0.753  0.551
Ir  0.500  0.247  0.449